i | A plane-wave DFT calculation with PBE-GGA was carried out for a relaxed structure of KLiHfSe3.

Computed properties:
- Total moment: 0.012 μB per cell

a = 7.579 Å, b = 7.579 Å, c = 10.365 Å
α = 90.00°, β = 90.00°, γ = 149.97°
Fractional coordinates of all 12 atoms:
Se 0.877 0.123 0.045
Se 0.123 0.877 0.955
Se 0.877 0.123 0.455
Se 0.441 0.559 0.750
Se 0.123 0.877 0.545
Se 0.559 0.441 0.250
Hf 0.500 0.500 0.000
Hf 0.500 0.500 0.500
Li 0.961 0.039 0.250
Li 0.039 0.961 0.750
K 0.242 0.758 0.250
K 0.758 0.242 0.750


ii | A plane-wave DFT calculation with PBE-GGA was carried out for a relaxed structure of KLiHfSe3.

Computed properties:
- Total moment: 0.003 μB per cell

a = 8.360 Å, b = 3.957 Å, c = 10.031 Å
α = 90.00°, β = 110.18°, γ = 90.00°
Fractional coordinates of all 12 atoms:
Li 0.925 0.250 0.402
Li 0.075 0.750 0.598
Se 0.449 0.250 0.133
Se 0.896 0.250 0.146
Se 0.758 0.750 0.433
Se 0.104 0.750 0.854
Se 0.242 0.250 0.567
Se 0.551 0.750 0.867
Hf 0.685 0.750 0.158
Hf 0.315 0.250 0.842
K 0.255 0.750 0.293
K 0.745 0.250 0.707


Which one sits at the top of the stability order? ii does.


i | A plane-wave DFT calculation with PBE-GGA was carried out for a relaxed structure of KLiHfTe3.

Computed properties:
- Total moment: 0.006 μB per cell

a = 8.057 Å, b = 8.057 Å, c = 11.121 Å
α = 90.00°, β = 90.00°, γ = 149.79°
Fractional coordinates of all 12 atoms:
Li 0.039 0.961 0.250
Li 0.961 0.039 0.750
K 0.752 0.248 0.250
K 0.248 0.752 0.750
Te 0.435 0.565 0.250
Te 0.127 0.873 0.044
Te 0.873 0.127 0.544
Te 0.873 0.127 0.956
Te 0.127 0.873 0.456
Te 0.565 0.435 0.750
Hf 0.500 0.500 0.500
Hf 0.500 0.500 0.000


ii | A plane-wave DFT calculation with PBE-GGA was carried out for a relaxed structure of KLiHfTe3.

Computed properties:
- Total moment: 0.008 μB per cell

a = 15.755 Å, b = 4.224 Å, c = 11.410 Å
α = 90.00°, β = 90.00°, γ = 90.00°
Fractional coordinates of all 24 atoms:
Te 0.593 0.250 0.433
Te 0.091 0.750 0.370
Te 0.591 0.750 0.130
Te 0.909 0.250 0.630
Te 0.633 0.750 0.733
Te 0.409 0.250 0.870
Te 0.133 0.750 0.767
Te 0.093 0.250 0.067
Te 0.907 0.750 0.933
Te 0.367 0.250 0.267
Te 0.407 0.750 0.567
Te 0.867 0.250 0.233
Li 0.515 0.750 0.908
Li 0.485 0.250 0.092
Li 0.985 0.250 0.408
Li 0.015 0.750 0.592
Hf 0.486 0.750 0.330
Hf 0.514 0.250 0.670
Hf 0.014 0.250 0.830
Hf 0.986 0.750 0.170
K 0.272 0.750 0.039
K 0.728 0.250 0.961
K 0.772 0.750 0.461
K 0.228 0.250 0.539


Which one sits at the top of the stability order? ii does.


i | A plane-wave DFT calculation with PBE-GGA was carried out for a relaxed structure of KHfMg.

Computed properties:
- Total moment: 1.682 μB per cell

a = 5.304 Å, b = 5.304 Å, c = 5.304 Å
α = 60.00°, β = 60.00°, γ = 60.00°
Fractional coordinates of all 3 atoms:
K 0.000 0.000 0.000
Mg 0.750 0.750 0.750
Hf 0.250 0.250 0.250


ii | A plane-wave DFT calculation with PBE-GGA was carried out for a relaxed structure of KHfMg.

Computed properties:
- Total moment: 1.941 μB per cell

a = 5.363 Å, b = 5.363 Å, c = 5.363 Å
α = 60.00°, β = 60.00°, γ = 60.00°
Fractional coordinates of all 3 atoms:
Hf 0.250 0.250 0.250
K 0.750 0.750 0.750
Mg 0.000 0.000 0.000


Which one sits at the top of the stability order? ii does.


i | A plane-wave DFT calculation with PBE-GGA was carried out for a relaxed structure of KHfMo.

Computed properties:
- Total moment: 2.441 μB per cell

a = 4.824 Å, b = 4.824 Å, c = 4.824 Å
α = 60.00°, β = 60.00°, γ = 60.00°
Fractional coordinates of all 3 atoms:
K 0.000 0.000 0.000
Mo 0.750 0.750 0.750
Hf 0.250 0.250 0.250


ii | A plane-wave DFT calculation with PBE-GGA was carried out for a relaxed structure of KHfMo.

Computed properties:
- Total moment: 1.150 μB per cell

a = 4.861 Å, b = 4.861 Å, c = 4.861 Å
α = 60.00°, β = 60.00°, γ = 60.00°
Fractional coordinates of all 3 atoms:
Mo 0.000 0.000 0.000
K 0.750 0.750 0.750
Hf 0.250 0.250 0.250


Which one sits at the top of the stability order? ii does.


i | A plane-wave DFT calculation with PBE-GGA was carried out for a relaxed structure of KHfNi.

Computed properties:
- Total moment: 0.002 μB per cell

a = 4.546 Å, b = 4.546 Å, c = 4.546 Å
α = 60.00°, β = 60.00°, γ = 60.00°
Fractional coordinates of all 3 atoms:
Ni 0.750 0.750 0.750
Hf 0.250 0.250 0.250
K 0.000 0.000 0.000


ii | A plane-wave DFT calculation with PBE-GGA was carried out for a relaxed structure of KHfNi.

Computed properties:
- Total moment: 0.047 μB per cell

a = 4.683 Å, b = 4.683 Å, c = 4.683 Å
α = 60.00°, β = 60.00°, γ = 60.00°
Fractional coordinates of all 3 atoms:
Hf 0.250 0.250 0.250
K 0.750 0.750 0.750
Ni 0.000 0.000 0.000


Which one sits at the top of the stability order? ii does.


i | A plane-wave DFT calculation with PBE-GGA was carried out for a relaxed structure of KHfTePdSe2.

Computed properties:
- Total moment: 0.002 μB per cell

a = 8.713 Å, b = 3.948 Å, c = 10.000 Å
α = 90.00°, β = 111.92°, γ = 90.00°
Fractional coordinates of all 12 atoms:
Se 0.460 0.250 0.632
Se 0.259 0.250 0.056
Se 0.540 0.750 0.368
Se 0.741 0.750 0.944
K 0.729 0.250 0.215
K 0.271 0.750 0.785
Te 0.915 0.250 0.638
Te 0.085 0.750 0.362
Pd 0.900 0.250 0.907
Pd 0.100 0.750 0.093
Hf 0.687 0.750 0.668
Hf 0.313 0.250 0.332


ii | A plane-wave DFT calculation with PBE-GGA was carried out for a relaxed structure of KHfTePdSe2.

Computed properties:
- Total moment: 0.002 μB per cell

a = 8.675 Å, b = 3.823 Å, c = 10.343 Å
α = 90.00°, β = 112.08°, γ = 90.00°
Fractional coordinates of all 12 atoms:
K 0.726 0.750 0.740
K 0.274 0.250 0.260
Pd 0.411 0.250 0.886
Pd 0.589 0.750 0.114
Te 0.761 0.250 0.047
Te 0.239 0.750 0.953
Se 0.392 0.250 0.631
Se 0.044 0.750 0.371
Se 0.608 0.750 0.369
Se 0.956 0.250 0.629
Hf 0.809 0.250 0.340
Hf 0.191 0.750 0.660


Which one sits at the top of the stability order? ii does.


i | A plane-wave DFT calculation with PBE-GGA was carried out for a relaxed structure of KRbHfSe3.

Computed properties:
- Total moment: 0.006 μB per cell

a = 8.115 Å, b = 4.031 Å, c = 11.076 Å
α = 90.00°, β = 94.99°, γ = 90.00°
Fractional coordinates of all 12 atoms:
Hf 0.099 0.250 0.665
Hf 0.901 0.750 0.335
Se 0.953 0.750 0.782
Se 0.813 0.250 0.489
Se 0.370 0.250 0.795
Se 0.630 0.750 0.205
Se 0.047 0.250 0.218
Se 0.187 0.750 0.511
K 0.417 0.250 0.355
K 0.583 0.750 0.645
Rb 0.747 0.250 0.983
Rb 0.253 0.750 0.017


ii | A plane-wave DFT calculation with PBE-GGA was carried out for a relaxed structure of KRbHfSe3.

Computed properties:
- Total moment: 0.002 μB per cell

a = 16.356 Å, b = 4.034 Å, c = 12.928 Å
α = 90.00°, β = 90.00°, γ = 90.00°
Fractional coordinates of all 24 atoms:
Se 0.634 0.250 0.170
Se 0.036 0.250 0.823
Se 0.536 0.250 0.677
Se 0.425 0.250 0.068
Se 0.075 0.750 0.568
Se 0.925 0.250 0.432
Se 0.866 0.750 0.670
Se 0.366 0.750 0.830
Se 0.964 0.750 0.177
Se 0.464 0.750 0.323
Se 0.134 0.250 0.330
Se 0.575 0.750 0.932
Rb 0.602 0.250 0.424
Rb 0.102 0.250 0.076
Rb 0.898 0.750 0.924
Rb 0.398 0.750 0.576
Hf 0.527 0.750 0.138
Hf 0.973 0.250 0.638
Hf 0.473 0.250 0.862
Hf 0.027 0.750 0.362
K 0.822 0.250 0.229
K 0.322 0.250 0.271
K 0.678 0.750 0.729
K 0.178 0.750 0.771


Which one sits at the top of the stability order? i does.


i | A plane-wave DFT calculation with PBE-GGA was carried out for a relaxed structure of KHfTlS3.

Computed properties:
- Total moment: 0.000 μB per cell

a = 9.166 Å, b = 3.878 Å, c = 9.362 Å
α = 90.00°, β = 99.40°, γ = 90.00°
Fractional coordinates of all 12 atoms:
K 0.711 0.750 0.441
K 0.289 0.250 0.559
S 0.340 0.750 0.301
S 0.030 0.750 0.679
S 0.970 0.250 0.321
S 0.137 0.250 0.017
S 0.863 0.750 0.983
S 0.660 0.250 0.699
Hf 0.917 0.250 0.797
Hf 0.083 0.750 0.203
Tl 0.649 0.250 0.028
Tl 0.351 0.750 0.972


ii | A plane-wave DFT calculation with PBE-GGA was carried out for a relaxed structure of KHfTlS3.

Computed properties:
- Total moment: 0.014 μB per cell

a = 15.063 Å, b = 3.766 Å, c = 11.451 Å
α = 90.00°, β = 90.00°, γ = 90.00°
Fractional coordinates of all 24 atoms:
S 0.683 0.750 0.599
S 0.951 0.750 0.890
S 0.183 0.750 0.901
S 0.549 0.250 0.390
S 0.317 0.250 0.401
S 0.070 0.250 0.663
S 0.049 0.250 0.110
S 0.817 0.250 0.099
S 0.430 0.750 0.163
S 0.451 0.750 0.610
S 0.930 0.750 0.337
S 0.570 0.250 0.837
Hf 0.072 0.250 0.877
Hf 0.572 0.250 0.623
Hf 0.928 0.750 0.123
Hf 0.428 0.750 0.377
K 0.235 0.750 0.617
K 0.265 0.250 0.117
K 0.735 0.750 0.883
K 0.765 0.250 0.383
Tl 0.427 0.750 0.871
Tl 0.073 0.250 0.371
Tl 0.573 0.250 0.129
Tl 0.927 0.750 0.629


Which one sits at the top of the stability order? ii does.